Material: Li4Mn3O7
Method: DFT, PBE with a Hubbard U
State: relaxed

Computed properties:
The crystal system is triclinic. For the total energy, the calculation gives -179.56 eV for the cell shown.

abc: 5.083 6.507 8.032
angles: 85.67 81.94 82.86
Site moments in Bohr magnetons follow the coordinates.
Atoms (fractional coordinates):
O 0.649 0.129 0.909  -0.07
Li 0.103 0.851 0.325  0.00
O 0.748 0.019 0.248  -0.05
Mn 0.128 0.719 0.727  3.85
Mn 0.439 0.143 0.131  3.19
Mn 0.872 0.281 0.273  3.85
Li 0.214 0.570 0.066  0.00
O 0.556 0.405 0.173  -0.01
O 0.137 0.277 0.038  0.04
O 0.400 0.696 0.464  0.00
Li 0.500 0.000 0.500  0.00
Li 0.329 0.280 0.798  0.00
Mn 0.707 0.573 0.574  3.87
O 0.210 0.152 0.358  -0.07
O 0.351 0.871 0.091  -0.07
O 0.444 0.595 0.827  -0.01
Li 0.897 0.149 0.675  0.00
O 0.018 0.447 0.678  0.01
O 0.252 0.981 0.752  -0.05
O 0.600 0.304 0.536  0.00
Mn 0.293 0.427 0.426  3.87
Mn 0.561 0.857 0.869  3.19
Li 0.671 0.720 0.202  0.00
O 0.790 0.848 0.642  -0.07
O 0.982 0.553 0.322  0.01
Li 0.786 0.430 0.934  0.00
Li 0.000 0.000 0.000  0.01
O 0.863 0.723 0.962  0.04